Run P
SrCd4Au: relaxed, PBE.

Cell and atoms, written as CIF:
```
data_SrCd4Au
_chemical_formula_sum 'Sr2 Cd8 Au2'
_space_group_name_H-M_alt 'P 1'
_space_group_IT_number 1
_cell_length_a 4.4762
_cell_length_b 7.7796
_cell_length_c 8.7272
_cell_angle_alpha 90.00
_cell_angle_beta 90.00
_cell_angle_gamma 90.00
loop_
_space_group_symop_operation_xyz
'x,y,z'
loop_
_atom_site_label
_atom_site_fract_x
_atom_site_fract_y
_atom_site_fract_z
Sr1 0.0000 0.6129 0.7500
Sr2 0.0000 0.3871 0.2500
Cd1 0.0000 0.0000 0.5000
Cd2 0.0000 0.0000 0.0000
Cd3 0.5000 0.9437 0.7500
Cd4 0.5000 0.0563 0.2500
Cd5 0.5000 0.6917 0.0514
Cd6 0.5000 0.3083 0.9486
Cd7 0.5000 0.6917 0.4486
Cd8 0.5000 0.3083 0.5514
Au1 0.0000 0.2178 0.7500
Au2 0.0000 0.7822 0.2500
```

Summary:
For the total magnetization, the calculation gives 0.000 μB per cell.

Run Q
SrCd4Au: relaxed, PBE.

Cell and atoms, written as CIF:
```
data_SrCd4Au
_chemical_formula_sum 'Sr1 Cd4 Au1'
_space_group_name_H-M_alt 'P 1'
_space_group_IT_number 1
_cell_length_a 5.9292
_cell_length_b 5.9292
_cell_length_c 5.9292
_cell_angle_alpha 60.00
_cell_angle_beta 60.00
_cell_angle_gamma 60.00
loop_
_space_group_symop_operation_xyz
'x,y,z'
loop_
_atom_site_label
_atom_site_fract_x
_atom_site_fract_y
_atom_site_fract_z
Sr1 0.7500 0.7500 0.7500
Cd1 0.8771 0.3743 0.3743
Cd2 0.3743 0.3743 0.8771
Cd3 0.3743 0.8771 0.3743
Cd4 0.3743 0.3743 0.3743
Au1 0.0000 0.0000 0.0000
```

Summary:
For the total magnetization, the calculation gives 0.000 μB per cell.

Relative calculated energies, zero for the most stable structure, unit meV per atom: run P 0; run Q 154.

Run P
SrCd3Au: relaxed, PBE.

Cell and atoms, written as CIF:
```
data_SrCd3Au
_chemical_formula_sum 'Sr2 Cd6 Au2'
_space_group_name_H-M_alt 'P 1'
_space_group_IT_number 1
_cell_length_a 6.0003
_cell_length_b 7.1387
_cell_length_c 7.1386
_cell_angle_alpha 120.00
_cell_angle_beta 90.00
_cell_angle_gamma 90.00
loop_
_space_group_symop_operation_xyz
'x,y,z'
loop_
_atom_site_label
_atom_site_fract_x
_atom_site_fract_y
_atom_site_fract_z
Sr1 0.7499 0.6667 0.3334
Sr2 0.2501 0.3333 0.6666
Cd1 0.7500 0.6125 0.8063
Cd2 0.2500 0.8062 0.6126
Cd3 0.2500 0.3875 0.1937
Cd4 0.7500 0.1938 0.3874
Cd5 0.2499 0.8063 0.1936
Cd6 0.7501 0.1937 0.8064
Au1 0.0000 0.0000 0.0000
Au2 0.5000 0.0000 0.0000
```

Summary:
For the total magnetization, the calculation gives 0.000 μB per cell.

Run Q
SrCd3Au: relaxed, PBE.

Cell and atoms, written as CIF:
```
data_SrCd3Au
_chemical_formula_sum 'Sr1 Cd3 Au1'
_space_group_name_H-M_alt 'P 1'
_space_group_IT_number 1
_cell_length_a 5.3170
_cell_length_b 5.3170
_cell_length_c 5.3170
_cell_angle_alpha 90.00
_cell_angle_beta 90.00
_cell_angle_gamma 90.00
loop_
_space_group_symop_operation_xyz
'x,y,z'
loop_
_atom_site_label
_atom_site_fract_x
_atom_site_fract_y
_atom_site_fract_z
Sr1 0.5000 0.5000 0.5000
Au1 0.0000 0.0000 0.0000
Cd1 0.0000 0.5000 0.0000
Cd2 0.0000 0.0000 0.5000
Cd3 0.5000 0.0000 0.0000
```

Summary:
For the total magnetization, the calculation gives 0.000 μB per cell.

Run R
SrCd3Au: relaxed, PBE.

Cell and atoms, written as CIF:
```
data_SrCd3Au
_chemical_formula_sum 'Sr2 Cd6 Au2'
_space_group_name_H-M_alt 'P 1'
_space_group_IT_number 1
_cell_length_a 6.4053
_cell_length_b 7.1473
_cell_length_c 6.4373
_cell_angle_alpha 116.76
_cell_angle_beta 90.00
_cell_angle_gamma 90.00
loop_
_space_group_symop_operation_xyz
'x,y,z'
loop_
_atom_site_label
_atom_site_fract_x
_atom_site_fract_y
_atom_site_fract_z
Sr1 0.2500 0.5022 0.7511
Sr2 0.7500 0.4978 0.2489
Cd1 0.5000 0.0000 0.2627
Cd2 0.5000 0.0000 0.7373
Cd3 0.0000 0.0000 0.2627
Cd4 0.0000 0.0000 0.7373
Cd5 0.2500 0.2754 0.1377
Cd6 0.7500 0.7246 0.8623
Au1 0.2500 0.7051 0.3526
Au2 0.7500 0.2949 0.6474
```

Summary:
For the total magnetization, the calculation gives 0.000 μB per cell.

Run S
SrCd3Au: relaxed, PBE.

Cell and atoms, written as CIF:
```
data_SrCd3Au
_chemical_formula_sum 'Sr1 Cd3 Au1'
_space_group_name_H-M_alt 'P 1'
_space_group_IT_number 1
_cell_length_a 6.4779
_cell_length_b 6.4779
_cell_length_c 6.4779
_cell_angle_alpha 90.00
_cell_angle_beta 90.00
_cell_angle_gamma 90.00
loop_
_space_group_symop_operation_xyz
'x,y,z'
loop_
_atom_site_label
_atom_site_fract_x
_atom_site_fract_y
_atom_site_fract_z
Sr1 0.0000 0.0000 0.0000
Au1 0.5000 0.5000 0.5000
Cd1 0.0000 0.5000 0.0000
Cd2 0.0000 0.0000 0.5000
Cd3 0.5000 0.0000 0.0000
```

Summary:
For the total magnetization, the calculation gives 0.000 μB per cell.

Relative calculated energies, zero for the most stable structure, unit meV per atom: run P 110; run Q 204; run R 0; run S 1069.

Run P
TaCd2Au: relaxed, PBE.

Cell and atoms, written as CIF:
```
data_TaCd2Au
_chemical_formula_sum 'Ta1 Cd2 Au1'
_space_group_name_H-M_alt 'P 1'
_space_group_IT_number 1
_cell_length_a 4.4800
_cell_length_b 2.9112
_cell_length_c 6.1630
_cell_angle_alpha 75.63
_cell_angle_beta 90.00
_cell_angle_gamma 90.00
loop_
_space_group_symop_operation_xyz
'x,y,z'
loop_
_atom_site_label
_atom_site_fract_x
_atom_site_fract_y
_atom_site_fract_z
Cd1 0.0000 0.8071 0.0112
Cd2 0.5000 0.1953 0.2413
Au1 0.5000 0.9500 0.7174
Ta1 0.0000 0.5475 0.5301
```

Summary:
For the total magnetization, the calculation gives 0.000 μB per cell.

Run Q
TaCd2Au: relaxed, PBE.

Cell and atoms, written as CIF:
```
data_TaCd2Au
_chemical_formula_sum 'Ta1 Cd2 Au1'
_space_group_name_H-M_alt 'P 1'
_space_group_IT_number 1
_cell_length_a 2.9183
_cell_length_b 4.1918
_cell_length_c 6.3401
_cell_angle_alpha 90.00
_cell_angle_beta 90.00
_cell_angle_gamma 90.00
loop_
_space_group_symop_operation_xyz
'x,y,z'
loop_
_atom_site_label
_atom_site_fract_x
_atom_site_fract_y
_atom_site_fract_z
Cd1 0.0000 0.0000 0.9981
Cd2 0.5000 0.5000 0.2554
Au1 0.5000 0.5000 0.7294
Ta1 0.0000 0.0000 0.5171
```

Summary:
For the total magnetization, the calculation gives 0.000 μB per cell.

Run R
TaCd2Au: relaxed, PBE.

Cell and atoms, written as CIF:
```
data_TaCd2Au
_chemical_formula_sum 'Ta1 Cd2 Au1'
_space_group_name_H-M_alt 'P 1'
_space_group_IT_number 1
_cell_length_a 10.1073
_cell_length_b 10.1073
_cell_length_c 10.1073
_cell_angle_alpha 17.04
_cell_angle_beta 17.04
_cell_angle_gamma 17.04
loop_
_space_group_symop_operation_xyz
'x,y,z'
loop_
_atom_site_label
_atom_site_fract_x
_atom_site_fract_y
_atom_site_fract_z
Cd1 0.0019 0.0019 0.0019
Cd2 0.4981 0.4981 0.4981
Au1 0.7500 0.7500 0.7500
Ta1 0.2500 0.2500 0.2500
```

Summary:
For the total magnetization, the calculation gives 0.230 μB per cell.

Relative calculated energies, zero for the most stable structure, unit meV per atom: run P 0; run Q 20; run R 5.

Run P
TaCd2Au: relaxed, PBE.

Cell and atoms, written as CIF:
```
data_TaCd2Au
_chemical_formula_sum 'Ta1 Cd2 Au1'
_space_group_name_H-M_alt 'P 1'
_space_group_IT_number 1
_cell_length_a 6.1058
_cell_length_b 6.1058
_cell_length_c 6.1058
_cell_angle_alpha 152.88
_cell_angle_beta 128.96
_cell_angle_gamma 58.75
loop_
_space_group_symop_operation_xyz
'x,y,z'
loop_
_atom_site_label
_atom_site_fract_x
_atom_site_fract_y
_atom_site_fract_z
Cd1 0.9905 0.9905 0.0000
Cd2 0.2603 0.7603 0.5000
Au1 0.7383 0.2383 0.5000
Ta1 0.5109 0.5109 0.0000
```

Summary:
For the total magnetization, the calculation gives 0.000 μB per cell.

Run Q
TaCd2Au: relaxed, PBE.

Cell and atoms, written as CIF:
```
data_TaCd2Au
_chemical_formula_sum 'Ta1 Cd2 Au1'
_space_group_name_H-M_alt 'P 1'
_space_group_IT_number 1
_cell_length_a 4.7752
_cell_length_b 4.7752
_cell_length_c 4.7752
_cell_angle_alpha 60.00
_cell_angle_beta 60.00
_cell_angle_gamma 60.00
loop_
_space_group_symop_operation_xyz
'x,y,z'
loop_
_atom_site_label
_atom_site_fract_x
_atom_site_fract_y
_atom_site_fract_z
Cd1 0.2500 0.2500 0.2500
Cd2 0.7500 0.7500 0.7500
Au1 0.5000 0.5000 0.5000
Ta1 0.0000 0.0000 0.0000
```

Summary:
For the total magnetization, the calculation gives 0.000 μB per cell.

Relative calculated energies, zero for the most stable structure, unit meV per atom: run P 0; run Q 220.

Run P
TaCd2Au: relaxed, PBE.

Cell and atoms, written as CIF:
```
data_TaCd2Au
_chemical_formula_sum 'Ta1 Cd2 Au1'
_space_group_name_H-M_alt 'P 1'
_space_group_IT_number 1
_cell_length_a 3.1080
_cell_length_b 4.9738
_cell_length_c 5.0262
_cell_angle_alpha 90.00
_cell_angle_beta 90.00
_cell_angle_gamma 90.00
loop_
_space_group_symop_operation_xyz
'x,y,z'
loop_
_atom_site_label
_atom_site_fract_x
_atom_site_fract_y
_atom_site_fract_z
Cd1 0.0000 0.0000 0.0000
Cd2 0.5000 0.5000 0.0000
Au1 0.0000 0.5000 0.5000
Ta1 0.5000 0.0000 0.5000
```

Summary:
For the total magnetization, the calculation gives 0.000 μB per cell.

Run Q
TaCd2Au: relaxed, PBE.

Cell and atoms, written as CIF:
```
data_TaCd2Au
_chemical_formula_sum 'Ta1 Cd2 Au1'
_space_group_name_H-M_alt 'P 1'
_space_group_IT_number 1
_cell_length_a 2.9394
_cell_length_b 2.9394
_cell_length_c 8.8523
_cell_angle_alpha 90.00
_cell_angle_beta 90.00
_cell_angle_gamma 90.01
loop_
_space_group_symop_operation_xyz
'x,y,z'
loop_
_atom_site_label
_atom_site_fract_x
_atom_site_fract_y
_atom_site_fract_z
Cd1 0.0000 0.0000 0.9967
Cd2 0.0000 0.0000 0.5033
Au1 0.5000 0.5000 0.7500
Ta1 0.5000 0.5000 0.2500
```

Summary:
For the total magnetization, the calculation gives 0.000 μB per cell.

Relative calculated energies, zero for the most stable structure, unit meV per atom: run P 155; run Q 0.